(1)
PBE CaMn2H6, optimized geometry; crystal system = trigonal; raw total energy = -4.688 eV/atom
1.0
-2.0924 -3.9192 0.3061
3.2029 -1.9168 -2.6495
0.5319 0.0710 4.5458
H Mn Ca
6 2 1
direct
0.2471 0.4984 0.4984 H
0.7529 0.4984 0.0000 H
0.7529 0.5016 0.5016 H
0.7529 0.0000 0.4984 H
0.2471 0.0000 0.5016 H
0.2471 0.5016 0.0000 H
0.5000 0.6667 0.3333 Mn
0.5000 0.3333 0.6667 Mn
0.0000 0.0000 0.0000 Ca

***

(2)
PBE LaZn6Cu, optimized geometry; crystal system = tetragonal; energy relative to the elements = -142 kJ/mol of formula units
1.0
4.2368 0.0000 0.0000
0.0000 4.2368 0.0000
0.0000 0.0000 8.2022
Zn La Cu
6 1 1
direct
0.5000 0.5000 0.1525 Zn
0.5000 0.5000 0.8475 Zn
0.0000 0.5000 0.3350 Zn
0.5000 0.0000 0.6650 Zn
0.0000 0.5000 0.6650 Zn
0.5000 0.0000 0.3350 Zn
0.0000 0.0000 0.0000 La
0.0000 0.0000 0.5000 Cu

***

(3)
PBE InSbPb, optimized geometry; formation energy from raw total energies = 23 kJ/mol of formula units; crystal system = tetragonal; E above lowest polymorph = 63.9 meV per atom
1.0
-5.7433 1.9327 -5.1377
-4.0613 -2.3864 -6.3975
3.2765 -0.8214 7.1908
Pb Sb In
1 1 1
direct
0.3314 0.3314 0.0000 Pb
0.6630 0.6630 0.0000 Sb
0.0056 0.0056 0.0000 In

***

(4)
PBE CrB2PdAu, optimized geometry; crystal system = tetragonal; energy relative to the elements = 630 kJ/mol of formula units
1.0
-3.7451 -1.4713 -0.3779
0.9186 -3.3642 3.9942
-1.3480 2.7557 2.6310
B Cr Au Pd
2 1 1 1
direct
0.5000 0.0000 0.0000 B
0.0000 0.0000 0.5000 B
0.5000 0.5000 0.5000 Cr
0.0000 0.0000 0.0000 Au
0.0000 0.5000 0.0000 Pd

***

(5)
PBE PmMgTiIn, optimized geometry; crystal system = cubic; energy relative to the elements = -22 kJ/mol of formula units
1.0
-0.6060 4.2720 2.7564
-3.5929 3.4042 -1.3106
-4.1584 0.5889 2.9284
Ti In Pm Mg
1 1 1 1
direct
0.2500 0.2500 0.2500 Ti
0.0000 0.0000 0.0000 In
0.7500 0.7500 0.7500 Pm
0.5000 0.5000 0.5000 Mg

***

(6)
PBE Tb3Dy4Ho3, optimized geometry; crystal system = orthorhombic; energy relative to the elements = 92 kJ/mol of formula units
1.0
3.6815 0.0000 0.0000
0.0000 9.2802 -0.0448
0.0000 0.0368 9.2803
Tb Ho Dy
3 3 4
direct
0.5000 0.8281 0.1719 Tb
0.5000 0.3278 0.3280 Tb
0.5000 0.6720 0.6722 Tb
0.0000 0.4987 0.9994 Ho
0.0000 0.0006 0.5013 Ho
0.5000 0.1721 0.8279 Ho
0.0000 0.6268 0.3732 Dy
0.0000 0.8739 0.8729 Dy
0.0000 0.1271 0.1261 Dy
0.0000 0.3729 0.6271 Dy

***

(7)
PBE MgAl9Fe3, optimized geometry; crystal system = monoclinic; energy relative to the elements = -287 kJ/mol of formula units
1.0
-1.0857 1.7451 4.5652
0.4911 -4.7959 4.5967
5.4211 2.3144 3.1498
Al Mg Fe
9 1 3
direct
0.3476 0.6667 0.6486 Al
0.4802 0.7878 0.2222 Al
0.9962 0.6667 0.3514 Al
0.0000 0.5000 0.0000 Al
0.6524 0.3333 0.3514 Al
0.0038 0.3333 0.6486 Al
0.7023 0.7878 0.7778 Al
0.2977 0.2122 0.2222 Al
0.5198 0.2122 0.7778 Al
0.0000 0.0000 0.0000 Mg
0.5000 0.0000 0.5000 Fe
0.0000 0.0000 0.5000 Fe
0.5000 0.5000 0.0000 Fe

***

(8)
PBE Ti3BeP2, optimized geometry; crystal system = orthorhombic; energy relative to the elements = -582 kJ/mol of formula units
1.0
-2.1426 2.6529 0.5779
-3.6546 -4.5661 7.4121
6.6731 4.1200 5.8282
P Ti Be
8 12 4
direct
0.2500 0.6862 0.4752 P
0.2500 0.8138 0.9752 P
0.7500 0.3138 0.5248 P
0.2500 0.4983 0.8072 P
0.7500 0.1862 0.0248 P
0.7500 0.9983 0.6928 P
0.2500 0.0017 0.3072 P
0.7500 0.5017 0.1928 P
0.7500 0.5650 0.6198 Ti
0.7500 0.2099 0.2887 Ti
0.7500 0.6214 0.9514 Ti
0.2500 0.7099 0.2113 Ti
0.2500 0.1214 0.5486 Ti
0.2500 0.7901 0.7113 Ti
0.7500 0.8786 0.4514 Ti
0.7500 0.9350 0.1198 Ti
0.7500 0.2901 0.7887 Ti
0.2500 0.0650 0.8802 Ti
0.2500 0.4350 0.3802 Ti
0.2500 0.3786 0.0486 Ti
0.2500 0.3742 0.6290 Be
0.7500 0.6258 0.3710 Be
0.2500 0.1258 0.1290 Be
0.7500 0.8742 0.8710 Be

***

(9)
PBE CePa3C, optimized geometry; crystal system = cubic; energy relative to the elements = -40 kJ/mol of formula units
1.0
-3.8255 1.9870 2.2159
-2.1778 -4.3284 0.1216
2.0287 -0.8996 4.3091
Pa Ce C
3 1 1
direct
0.0000 0.5000 0.0000 Pa
0.5000 0.0000 0.0000 Pa
0.0000 0.0000 0.5000 Pa
0.5000 0.5000 0.5000 Ce
0.0000 0.0000 0.0000 C

***

(10)
PBE LaTbNiPd, optimized geometry; crystal system = cubic; energy relative to the elements = -200 kJ/mol of formula units; E above lowest polymorph = 81.9 meV per atom
1.0
5.0232 0.0000 0.0000
2.5116 4.3502 0.0000
2.5116 1.4501 4.1014
Tb Ni La Pd
1 1 1 1
direct
0.0000 0.0000 0.0000 Tb
0.2500 0.2500 0.2500 Ni
0.5000 0.5000 0.5000 La
0.7500 0.7500 0.7500 Pd

***

(11)
PBE ScGeS3, optimized geometry; formation energy from raw total energies = -134 kJ/mol of formula units; crystal system = cubic; E above lowest polymorph = 600.0 meV per atom
1.0
4.6599 0.0000 0.0000
0.0000 4.6599 0.0000
0.0000 0.0000 4.6599
S Ge Sc
3 1 1
direct
0.5000 0.0000 0.0000 S
0.0000 0.0000 0.5000 S
0.0000 0.5000 0.0000 S
0.0000 0.0000 0.0000 Ge
0.5000 0.5000 0.5000 Sc

***

(12)
PBE TbEu6, optimized geometry; crystal system = cubic; energy relative to the elements = 758 kJ/mol of formula units
1.0
7.2261 0.0000 0.0000
-2.4087 6.8128 0.0000
-2.4087 -3.4064 5.9001
Eu Tb
6 1
direct
0.5000 0.7500 0.2500 Eu
0.2500 0.5000 0.7500 Eu
0.5000 0.2500 0.7500 Eu
0.2500 0.7500 0.5000 Eu
0.7500 0.2500 0.5000 Eu
0.7500 0.5000 0.2500 Eu
0.0000 0.0000 0.0000 Tb

***

(13)
PBE TaReF2, optimized geometry; formation energy from raw total energies = 162 kJ/mol of formula units; crystal system = cubic; E above lowest polymorph = 1211.0 meV per atom
1.0
1.1753 -3.8885 -1.2343
-2.4806 -2.2351 -2.6223
1.2166 -0.6769 -4.0108
Re F Ta
1 2 1
direct
0.5000 0.5000 0.5000 Re
0.7500 0.7500 0.7500 F
0.2500 0.2500 0.2500 F
0.0000 0.0000 0.0000 Ta

***

(14)
PBE NaDyUS4, optimized geometry; formation energy from raw total energies = -1093 kJ/mol of formula units; crystal system = orthorhombic
1.0
8.2082 0.0000 0.0000
-4.1041 7.0022 -0.4800
0.0000 -4.2066 6.9179
S Na U Dy
8 2 2 2
direct
0.2587 0.9682 0.7341 S
0.7398 0.4796 0.7107 S
0.2602 0.5204 0.7311 S
0.2602 0.5204 0.2893 S
0.7413 0.0318 0.2659 S
0.7398 0.4796 0.2689 S
0.2905 0.0318 0.2659 S
0.7095 0.9682 0.7341 S
0.1202 0.2403 0.8702 Na
0.8798 0.7597 0.1298 Na
0.0000 0.5000 0.5000 U
0.5000 0.5000 0.5000 U
0.5000 0.0000 0.5000 Dy
0.5000 0.0000 0.0000 Dy

***

(15)
PBE GaSb2Cl, optimized geometry; formation energy from raw total energies = 19 kJ/mol of formula units; crystal system = cubic; E above lowest polymorph = 145.3 meV per atom
1.0
0.0000 3.5910 3.5910
3.5910 0.0000 3.5910
3.5910 3.5910 0.0000
Sb Cl Ga
2 1 1
direct
0.2500 0.2500 0.2500 Sb
0.7500 0.7500 0.7500 Sb
0.0000 0.0000 0.0000 Cl
0.5000 0.5000 0.5000 Ga

***

(16)
PBE HfCdCo3, optimized geometry; crystal system = cubic; energy relative to the elements = 573 kJ/mol of formula units; E above lowest polymorph = 0.0 meV per atom
1.0
4.5436 0.0000 0.0000
0.0000 4.5436 0.0000
0.0000 0.0000 4.5436
Co Hf Cd
3 1 1
direct
0.0000 0.0000 0.5000 Co
0.0000 0.5000 0.0000 Co
0.5000 0.0000 0.0000 Co
0.0000 0.0000 0.0000 Hf
0.5000 0.5000 0.5000 Cd

***

(17)
PBE Sc2GeAs, optimized geometry; crystal system = orthorhombic; energy relative to the elements = -423 kJ/mol of formula units; E above lowest polymorph = 0.0 meV per atom
1.0
3.8308 0.0000 0.0000
0.0000 3.9089 -0.6943
0.0000 -0.1055 10.7572
Sc Ge As
4 2 2
direct
0.7500 0.6848 0.3695 Sc
0.7500 0.9364 0.8729 Sc
0.2500 0.3152 0.6305 Sc
0.2500 0.0636 0.1271 Sc
0.7500 0.5447 0.0895 Ge
0.2500 0.4553 0.9105 Ge
0.2500 0.1876 0.3753 As
0.7500 0.8124 0.6247 As

***

(18)
PBE RbAg2SbSe4, optimized geometry; formation energy from raw total energies = -283 kJ/mol of formula units; crystal system = tetragonal
1.0
-2.5182 -1.1019 6.4118
-5.6047 -2.6860 -3.1686
6.2346 -2.7135 -1.5599
Ag Se Rb Sb
2 4 1 1
direct
0.2500 0.7500 0.5000 Ag
0.7500 0.2500 0.5000 Ag
0.6413 0.6413 0.5994 Se
0.0419 0.0419 0.4006 Se
0.9581 0.3587 0.0000 Se
0.3587 0.9581 0.0000 Se
0.5000 0.5000 0.0000 Rb
0.0000 0.0000 0.0000 Sb

***

(19)
PBE Ga5Cu3Ag, optimized geometry; crystal system = monoclinic; energy relative to the elements = 86 kJ/mol of formula units
1.0
-3.9869 2.9442 3.4537
-1.5686 -4.7417 3.3981
5.3137 1.6194 7.2627
Cu Ga Ag
6 10 2
direct
0.0000 0.0000 0.5000 Cu
0.5603 0.5603 0.3372 Cu
0.3519 0.3519 0.1864 Cu
0.0000 0.0000 0.0000 Cu
0.6481 0.6481 0.8136 Cu
0.4397 0.4397 0.6628 Cu
0.9200 0.3170 0.2693 Ga
0.2911 0.2911 0.4549 Ga
0.0800 0.6830 0.7307 Ga
0.3170 0.9200 0.2693 Ga
0.7089 0.7089 0.5451 Ga
0.2913 0.7087 0.0000 Ga
0.6830 0.0800 0.7307 Ga
0.7087 0.2913 0.0000 Ga
0.7166 0.7166 0.0583 Ga
0.2834 0.2834 0.9417 Ga
0.1362 0.1362 0.7229 Ag
0.8638 0.8638 0.2771 Ag

***

(20)
PBE CaLaBiSb, optimized geometry; formation energy from raw total energies = -318 kJ/mol of formula units; crystal system = cubic
1.0
-0.7163 -3.7989 4.0840
3.2017 0.1995 4.6188
-2.2499 1.5471 4.9162
Ca Bi La Sb
1 1 1 1
direct
0.7500 0.7500 0.7500 Ca
0.5000 0.5000 0.5000 Bi
0.2500 0.2500 0.2500 La
0.0000 0.0000 0.0000 Sb

***

The records above yield ρ values of 3.21 6.71 8.44 7.23 5.81 8.49 3.75 4.47 12.33 8.58 3.51 6.12 12.43 4.81 6.25 8.28 4.90 4.96 6.63 6.73 g/cm3, respectively.
The records above yield volume values of 80.81 147.23 87.36 86.61 94.91 317.07 192.62 319.08 113.87 89.62 101.19 290.46 54.11 381.03 92.62 93.80 160.80 247.39 324.19 125.75 Å³ per cell, respectively.